No. 1
{"formula": "BaLaIn", "functional": "PBE-GGA", "state": "relaxed", "m_tot_mub_per_atom": 0.001, "final_energy_ev_per_atom": -3.287, "lattice_angstrom": [[-4.571, 2.809, 1.918], [-4.310, 1.180, -3.535], [-4.978, -2.712, 0.572]], "species": ["Ba", "In", "La"], "frac_coords": [[0.500, 0.500, 0.500], [0.250, 0.250, 0.250], [0.000, 0.000, 0.000]]}



No. 2
{"formula": "TaHg2Pb", "functional": "PBE-GGA", "state": "relaxed", "m_tot_mub_per_atom": 0.000, "final_energy_ev_per_atom": -3.683, "lattice_angstrom": [[3.094, -0.028, 0.000], [-0.063, 3.094, 0.000], [0.000, 0.000, 9.682]], "species": ["Hg", "Hg", "Pb", "Ta"], "frac_coords": [[0.000, 0.000, 0.963], [0.000, 0.000, 0.537], [0.500, 0.500, 0.250], [0.500, 0.500, 0.750]]}



No. 3
{"formula": "K2AlMo", "functional": "PBE-GGA", "state": "relaxed", "m_tot_mub_per_atom": 0.182, "final_energy_ev_per_atom": -3.049, "lattice_angstrom": [[2.888, 0.000, 0.000], [0.000, 5.999, 0.000], [0.000, 0.000, 5.736]], "species": ["Mo", "K", "K", "Al"], "frac_coords": [[0.500, 0.500, 0.250], [0.000, 0.000, 0.000], [0.000, 0.000, 0.500], [0.500, 0.500, 0.750]]}



No. 4
{"formula": "BaY2W", "functional": "PBE-GGA", "state": "relaxed", "m_tot_mub_per_atom": 0.000, "final_energy_ev_per_atom": -5.753, "lattice_angstrom": [[8.215, 0.000, 0.000], [0.000, 8.215, 0.000], [4.107, 4.107, 5.893]], "species": ["Y", "Y", "Y", "Y", "Ba", "Ba", "W", "W"], "frac_coords": [[0.875, 0.125, 0.250], [0.875, 0.625, 0.250], [0.375, 0.125, 0.750], [0.875, 0.125, 0.750], [0.500, 0.500, 0.000], [0.250, 0.750, 0.500], [0.000, 0.000, 0.000], [0.750, 0.250, 0.500]]}



No. 5
{"formula": "MnP3", "functional": "PBE-GGA", "state": "relaxed", "m_tot_mub_per_atom": 0.777, "final_energy_ev_per_atom": -6.304, "lattice_angstrom": [[3.298, 0.000, 0.000], [0.000, 4.383, -0.020], [0.000, 1.375, 4.116]], "species": ["Mn", "P", "P", "P"], "frac_coords": [[0.000, 0.000, 0.000], [0.500, 0.717, 0.785], [0.000, 0.500, 0.500], [0.500, 0.283, 0.215]]}



No. 6
{"formula": "MnTe5", "functional": "PBE-GGA", "state": "relaxed", "formation_energy_uncorrected_mev_per_atom": -57, "m_tot_mub_per_atom": 0.667, "final_energy_ev_per_atom": -4.204, "lattice_angstrom": [[7.764, 0.017, 0.000], [-6.680, 3.957, 0.000], [0.000, 0.000, 6.148]], "species": ["Mn", "Te", "Te", "Te", "Te", "Te"], "frac_coords": [[0.056, 0.944, 0.000], [0.427, 0.573, 0.000], [0.684, 0.316, 0.000], [0.408, 0.592, 0.500], [0.703, 0.297, 0.500], [0.056, 0.944, 0.500]]}



No. 7
{"formula": "TlRe2W", "functional": "PBE-GGA", "state": "relaxed", "m_tot_mub_per_atom": 0.101, "final_energy_ev_per_atom": -9.160, "lattice_angstrom": [[-3.998, 1.973, -0.817], [-1.579, -1.563, 3.951], [1.038, 2.723, 1.492]], "species": ["Re", "Re", "Tl", "W"], "frac_coords": [[0.000, 0.000, 0.000], [0.500, 0.500, 0.000], [0.500, 0.000, 0.500], [0.000, 0.500, 0.500]]}



No. 8
{"formula": "LaDyNiRh", "functional": "PBE-GGA", "state": "relaxed", "m_tot_mub_per_atom": 0.000, "final_energy_ev_per_atom": -6.258, "lattice_angstrom": [[3.909, 0.000, 0.000], [0.000, 4.167, 0.000], [-1.955, 0.000, 5.416]], "species": ["La", "Dy", "Ni", "Rh"], "frac_coords": [[0.143, 0.000, 0.286], [0.865, 0.500, 0.729], [0.578, 0.500, 0.156], [0.415, 0.000, 0.829]]}



No. 9
{"formula": "TaAgP2", "functional": "PBE-GGA", "state": "relaxed", "m_tot_mub_per_atom": 0.000, "final_energy_ev_per_atom": -6.316, "lattice_angstrom": [[-1.508, -1.326, -2.562], [0.607, -3.976, 1.701], [-3.822, 0.310, 2.089]], "species": ["Ag", "P", "P", "Ta"], "frac_coords": [[0.500, 0.000, 0.500], [0.000, 0.000, 0.000], [0.000, 0.500, 0.500], [0.500, 0.500, 0.000]]}



No. 10
{"formula": "HoTmNiRh", "functional": "PBE-GGA", "state": "relaxed", "m_tot_mub_per_atom": 0.000, "final_energy_ev_per_atom": -6.233, "lattice_angstrom": [[-1.741, 3.268, -0.708], [-1.373, 0.109, 3.876], [5.149, 0.958, 1.797]], "species": ["Ho", "Tm", "Ni", "Rh"], "frac_coords": [[0.142, 0.000, 0.284], [0.859, 0.500, 0.718], [0.579, 0.500, 0.158], [0.420, 0.000, 0.841]]}



No. 11
{"formula": "Er2HgBi", "functional": "PBE-GGA", "state": "relaxed", "m_tot_mub_per_atom": 0.180, "final_energy_ev_per_atom": -3.839, "lattice_angstrom": [[3.950, 0.000, 0.000], [0.000, 3.950, 0.000], [0.000, 0.000, 6.883]], "species": ["Er", "Er", "Bi", "Hg"], "frac_coords": [[0.000, 0.000, 0.751], [0.000, 0.000, 0.249], [0.500, 0.500, 0.500], [0.500, 0.500, 0.000]]}



No. 12
{"formula": "SrIrPb2", "functional": "PBE-GGA", "state": "relaxed", "m_tot_mub_per_atom": 0.000, "final_energy_ev_per_atom": -4.632, "lattice_angstrom": [[-3.367, -3.618, 4.162], [-1.383, -6.247, 0.902], [1.158, -4.585, 4.403]], "species": ["Ir", "Pb", "Pb", "Sr"], "frac_coords": [[0.750, 0.750, 0.750], [0.028, 0.028, 0.028], [0.472, 0.472, 0.472], [0.250, 0.250, 0.250]]}